1.
Crystalline K3HfOs at its relaxed geometry, computed with PBE.

a = 6.0426 Å, b = 6.0426 Å, c = 6.0426 Å
α = 90.00°, β = 90.00°, γ = 90.00°
Last column: nearest neighbours and their distance in Å.
Fractional positions:
K  0.0000  0.0000  0.5000  2 Os 3.02
K  0.0000  0.5000  0.0000  2 Os 3.02
K  0.5000  0.0000  0.0000  2 Os 3.02
Hf  0.5000  0.5000  0.5000  12 K 4.27
Os  0.0000  0.0000  0.0000  6 K 3.02

**ΔE_f**: 11.09 eV per formula unit
**SG**: Pm-3m



2.
Crystalline K2HfOsRh at its relaxed geometry, computed with PBE.

a = 5.3868 Å, b = 5.3868 Å, c = 4.8129 Å
α = 90.00°, β = 90.00°, γ = 90.00°
Last column: nearest neighbours and their distance in Å.
Fractional positions:
K  0.0000  0.5000  0.0000  2 Rh 2.69
K  0.5000  0.0000  0.0000  2 Rh 2.69
Hf  0.0000  0.0000  0.5000  8 K 3.61, 4 Os 3.81
Os  0.5000  0.5000  0.5000  2 Rh 2.41
Rh  0.5000  0.5000  0.0000  2 Os 2.41, 4 K 2.69

**ΔE_f**: 9.01 eV per formula unit
**SG**: P4/mmm



3.
Crystalline K2YHfOs at its relaxed geometry, computed with PBE.

a = 5.9505 Å, b = 5.9505 Å, c = 5.2246 Å
α = 90.00°, β = 90.00°, γ = 90.00°
Last column: nearest neighbours and their distance in Å.
Fractional positions:
K  0.0000  0.5000  0.0000  2 Os 2.98
K  0.5000  0.0000  0.0000  2 Os 2.98
Y  0.0000  0.0000  0.5000  2 Os 2.61
Hf  0.5000  0.5000  0.5000  8 K 3.96, 4 Y 4.21
Os  0.0000  0.0000  0.0000  2 Y 2.61

**ΔE_f**: 8.52 eV per formula unit
**SG**: P4/mmm



4.
Crystalline KHf3P at its relaxed geometry, computed with PBE.

a = 5.0193 Å, b = 5.0193 Å, c = 5.0193 Å
α = 90.00°, β = 90.00°, γ = 90.00°
Last column: nearest neighbours and their distance in Å.
Fractional positions:
K  0.0000  0.0000  0.0000  12 Hf 3.55
Hf  0.0000  0.5000  0.5000  2 P 2.51
Hf  0.5000  0.0000  0.5000  2 P 2.51
Hf  0.5000  0.5000  0.0000  2 P 2.51
P  0.5000  0.5000  0.5000  6 Hf 2.51

**ΔE_f**: 1.71 eV per formula unit
**SG**: Pm-3m
**Excess energy over the best structure of this formula in the dataset**: 0 meV/atom



5.
Crystalline KHfP3 at its relaxed geometry, computed with PBE.

a = 5.0498 Å, b = 5.0498 Å, c = 5.0498 Å
α = 90.00°, β = 90.00°, γ = 90.00°
Last column: nearest neighbours and their distance in Å.
Fractional positions:
K  0.0000  0.0000  0.0000  12 P 3.57
Hf  0.5000  0.5000  0.5000  6 P 2.52
P  0.0000  0.5000  0.5000  2 Hf 2.52
P  0.5000  0.0000  0.5000  2 Hf 2.52
P  0.5000  0.5000  0.0000  2 Hf 2.52

**ΔE_f**: -0.75 eV per formula unit
**SG**: Pm-3m
**Excess energy over the best structure of this formula in the dataset**: 0 meV/atom



6.
Crystalline KHf3P at its relaxed geometry, computed with PBE.

a = 4.8636 Å, b = 4.8636 Å, c = 4.8636 Å
α = 90.00°, β = 90.00°, γ = 90.00°
Last column: nearest neighbours and their distance in Å.
Fractional positions:
K  0.0000  0.0000  0.0000  6 Hf 2.43
Hf  0.0000  0.0000  0.5000  2 K 2.43
Hf  0.0000  0.5000  0.0000  2 K 2.43
Hf  0.5000  0.0000  0.0000  2 K 2.43
P  0.5000  0.5000  0.5000  12 Hf 3.44

**ΔE_f**: 11.73 eV per formula unit
**SG**: Pm-3m
**Excess energy over the best structure of this formula in the dataset**: 2004 meV/atom



7.
Crystalline KHfP3 at its relaxed geometry, computed with PBE.

a = 4.8805 Å, b = 4.8805 Å, c = 4.8805 Å
α = 90.00°, β = 90.00°, γ = 90.00°
Last column: nearest neighbours and their distance in Å.
Fractional positions:
K  0.0000  0.0000  0.0000  6 P 2.44
Hf  0.5000  0.5000  0.5000  12 P 3.45
P  0.0000  0.0000  0.5000  2 K 2.44
P  0.0000  0.5000  0.0000  2 K 2.44
P  0.5000  0.0000  0.0000  2 K 2.44

**ΔE_f**: 9.01 eV per formula unit
**SG**: Pm-3m
**Excess energy over the best structure of this formula in the dataset**: 1951 meV/atom



8.
Crystalline K3HfP at its relaxed geometry, computed with PBE.

a = 6.2253 Å, b = 6.2253 Å, c = 6.2253 Å
α = 90.00°, β = 90.00°, γ = 90.00°
Last column: nearest neighbours and their distance in Å.
Fractional positions:
K  0.0000  0.0000  0.5000  2 P 3.11
K  0.0000  0.5000  0.0000  2 P 3.11
K  0.5000  0.0000  0.0000  2 P 3.11
Hf  0.5000  0.5000  0.5000  12 K 4.40
P  0.0000  0.0000  0.0000  6 K 3.11

**ΔE_f**: 4.81 eV per formula unit
**SG**: Pm-3m
**Excess energy over the best structure of this formula in the dataset**: 0 meV/atom